# 1
HoErTm after structural relaxation, computed with PBE.

As for the mass density: 9.16 g cm⁻³. The calculation puts the calculated total energy at -4.51 eV/atom. The calculation puts the energy relative to the elements at 25 meV per atom.

The structure belongs to space group I4mm (No. 107); the cell edges are 3.4925, 3.4925 and 14.8977 Å and the angles 90.00°, 90.00° and 90.00°. The asymmetric unit holds Ho at (0.0000, 0.0000, 0.0000), Er at (0.0000, 0.0000, 0.3326) and Tm at (0.0000, 0.0000, 0.6666).


# 2
Ho8Er6Tm after structural relaxation, computed with PBE.

As for the mass density: 8.86 g cm⁻³. The calculation puts the calculated total energy at -4.43 eV/atom. The calculation puts the energy relative to the elements at 130 meV per atom.

The structure belongs to space group R-3 (No. 148, hexagonal axes); the cell edges are 8.9177, 8.9177 and 20.3501 Å and the angles 90.00°, 90.00° and 120.00°. The asymmetric unit holds Ho at (0.0000, 0.0000, 0.0767), Ho at (0.0818, 0.5294, 0.3085), Er at (0.0644, 0.8162, 0.2072) and Tm at (0.0000, 0.0000, 0.5000).


# 3
Ho4Er8Tm3 after structural relaxation, computed with PBE.

As for the mass density: 8.67 g cm⁻³. The calculation puts the calculated total energy at -4.14 eV/atom. The calculation puts the energy relative to the elements at 412 meV per atom.

The structure belongs to space group C2/m (No. 12); the cell edges are 13.1589, 12.7279 and 6.6241 Å and the angles 90.00°, 120.13° and 90.00°. The asymmetric unit holds Ho at (0.0000, 0.0000, 0.0000), Ho at (0.0000, 0.0000, 0.5000), Ho at (0.2500, 0.2500, 0.0000), Er at (0.0000, 0.2517, 0.0000), Er at (0.0000, 0.3607, 0.5000), Er at (0.2324, 0.5000, 0.9688), Er at (0.2341, 0.5000, 0.4907), Tm at (0.0000, 0.5000, 0.0000) and Tm at (0.2500, 0.2500, 0.5000).


# 4
Ho6Er6Tm after structural relaxation, computed with PBE.

As for the mass density: 8.58 g cm⁻³. The calculation puts the calculated total energy at -4.26 eV/atom. The calculation puts the energy relative to the elements at 303 meV per atom.

The structure belongs to space group P6/mmm (No. 191); the cell edges are 6.5506, 6.5506 and 11.2633 Å and the angles 90.00°, 90.00° and 120.00°. The asymmetric unit holds Ho at (0.0000, 0.5000, 0.2426), Er at (0.0000, 0.0000, 0.3475), Er at (0.3333, 0.6667, 0.0000), Er at (0.3333, 0.6667, 0.5000) and Tm at (0.0000, 0.0000, 0.0000).


# 5
Ho6Er5Tm after structural relaxation, computed with PBE.

As for the mass density: 9.08 g cm⁻³. The calculation puts the calculated total energy at -4.54 eV/atom. The calculation puts the energy relative to the elements at 22 meV per atom.

The structure belongs to space group C2/m (No. 12); the cell edges are 6.0741, 10.5041 and 11.6115 Å and the angles 90.00°, 99.98° and 90.00°. The asymmetric unit holds Ho at (0.2499, 0.0000, 0.2498), Ho at (0.2504, 0.1666, 0.7502), Er at (0.0000, 0.0000, 0.5000), Er at (0.0000, 0.1666, 0.0000), Er at (0.0000, 0.3334, 0.5000) and Tm at (0.0000, 0.5000, 0.0000).


# 6
Ho3Er4Tm4 after structural relaxation, computed with PBE.

As for the mass density: 8.85 g cm⁻³. The calculation puts the calculated total energy at -4.35 eV/atom. The calculation puts the energy relative to the elements at 185 meV per atom.

The structure belongs to space group C2/m (No. 12); the cell edges are 18.2960, 11.0104 and 3.4899 Å and the angles 90.00°, 100.89° and 90.00°. The asymmetric unit holds Ho at (0.0000, 0.0000, 0.0000), Ho at (0.1091, 0.5000, 0.1088), Er at (0.0000, 0.2942, 0.5000), Er at (0.2211, 0.0000, 0.2219) and Tm at (0.1706, 0.2411, 0.6715).


# 7
Ho6Er2Tm5 after structural relaxation, computed with PBE.

As for the mass density: 8.95 g cm⁻³. The calculation puts the calculated total energy at -4.43 eV/atom. The calculation puts the energy relative to the elements at 102 meV per atom.

The structure belongs to space group Pbam (No. 55); the cell edges are 11.4701, 19.8829 and 3.5290 Å and the angles 90.00°, 90.00° and 90.00°. The asymmetric unit holds Ho at (0.0585, 0.0810, 0.0000), Ho at (0.0844, 0.3684, 0.0000), Ho at (0.1716, 0.6346, 0.5000), Er at (0.1651, 0.7901, 0.0000), Tm at (0.0000, 0.5000, 0.5000), Tm at (0.0918, 0.2267, 0.5000) and Tm at (0.1982, 0.9496, 0.5000).


# 8
HoEr3Tm6 after structural relaxation, computed with PBE.

As for the mass density: 9.09 g cm⁻³. The calculation puts the calculated total energy at -4.36 eV/atom. The calculation puts the energy relative to the elements at 150 meV per atom.

The structure belongs to space group Cmc2_1 (No. 36); the cell edges are 10.8243, 18.6610 and 6.0812 Å and the angles 90.00°, 90.00° and 90.00°. The asymmetric unit holds Ho at (0.0000, 0.2094, 0.0000), Er at (0.0000, 0.3910, 0.0852), Er at (0.1716, 0.1082, 0.7000), Tm at (0.0000, 0.0488, 0.2334), Tm at (0.0000, 0.2859, 0.5143), Tm at (0.1645, 0.4528, 0.6266) and Tm at (0.2477, 0.2105, 0.2954).


Look up the calculated total energy of the second one. -4.43 eV/atom